{
  "formula": "BaTl3Au",
  "functional": "meta-GGA SCAN",
  "state": "PBEsol geometry",
  "magmom_total_mub_per_fu": 0.00,
  "space_group": "I4mm, No. 107",
  "formation_enthalpy_0k_ev_per_atom": -0.45,
  "dos_at_fermi_per_ev_cell": 2.3,
  "crystal_system": "tetragonal",
  "lattice": [[-0.680, -1.811, 4.455], [3.151, -3.567, -0.969], [3.374, 6.183, 0.380]],
  "species": ["Tl", "Tl", "Tl", "Au", "Ba"],
  "frac_coords": [[0.756, 0.256, 0.511], [0.408, 0.408, 0.817], [0.256, 0.756, 0.511], [0.631, 0.631, 0.262], [0.019, 0.019, 0.037]]
}